This record from Alexandria describes B3AsI after structural relaxation. The functional is PBE.

```
B3AsI
1.0
4.4252 0.0000 0.0000
0.0000 4.4252 0.0000
0.0000 0.0000 4.4252
B As I
3 1 1
Cartesian
0.0000 0.0000 2.2126 B
2.2126 0.0000 0.0000 B
0.0000 2.2126 0.0000 B
2.2126 2.2126 2.2126 As
0.0000 0.0000 0.0000 I
```

## Properties
Formation energy from raw total energies, eV/f.u.: 12.96
V, A^3/atom: 17.331
SG: Pm-3m, No. 221

***

This record from Alexandria describes Pm2ErSc5 after structural relaxation. The functional is PBE.

```
Pm2ErSc5
1.0
-0.5434 4.4149 -1.9093
-6.6937 -0.7824 0.0959
-0.4424 5.3024 12.3867
Pm Sc Er
4 10 2
Cartesian
-5.3930 3.6048 3.7340 Pm
-2.2864 5.3301 6.8393 Pm
-5.7419 6.2411 9.9292 Pm
-1.9375 2.6938 0.6441 Pm
0.0000 0.0000 0.0000 Sc
-6.7338 0.5384 3.1614 Sc
-3.5680 2.2600 6.2413 Sc
-5.3073 2.2929 0.6761 Sc
-2.0702 4.0002 3.7027 Sc
-2.3722 6.6420 9.8972 Sc
-0.4022 3.9816 9.3212 Sc
-5.6092 4.9346 6.8706 Sc
-3.7469 3.5645 9.3088 Sc
-3.3891 0.9554 3.1738 Sc
-0.2212 2.6512 6.1933 Er
-3.3468 -0.3912 0.0479 Er
```

## Properties
V, A^3/atom: 27.490
SG: Pbam, No. 55
DFT formation energy, meV/atom: 62

***

This record from Alexandria describes Ba3Hg4Au4 after structural relaxation. The functional is PBE.

```
Ba3Hg4Au4
1.0
-0.9020 0.4663 4.3002
3.5542 -3.0679 1.0765
11.2129 10.4328 3.4715
Au Hg Ba
4 4 3
Cartesian
11.6392 8.0605 6.0715 Au
2.2257 -0.2295 2.7769 Au
7.0286 6.2357 5.3300 Au
6.8366 1.5956 3.5184 Au
7.6551 3.3336 5.7748 Hg
5.0000 -0.5844 3.3800 Hg
8.8652 8.4156 5.4683 Hg
6.2102 4.4978 3.0736 Hg
3.7947 2.3931 5.0686 Ba
10.0706 5.4383 3.7797 Ba
11.2128 10.4327 3.4716 Ba
```

## Properties
V, A^3/atom: 29.726
SG: P-1, No. 2
DFT formation energy, meV/atom: -542

***

This record from Alexandria describes Ac3LaEr after structural relaxation. The functional is PBE.

```
Ac3LaEr
1.0
-4.8531 5.1577 2.6327
-3.9638 -5.4576 -7.4565
2.9437 -1.6627 8.6836
Er Ac La
2 6 2
Cartesian
1.8659 -1.8037 6.9731 Er
-7.7391 -0.1589 -3.1132 Er
-4.1907 0.2475 2.6317 Ac
-1.1471 -0.7514 4.7686 Ac
-1.6825 -2.2100 1.2282 Ac
-2.2952 -3.7946 -2.2274 Ac
-4.7261 -1.2112 -0.9087 Ac
-3.5779 1.8320 6.0873 Ac
-0.5191 0.7856 8.3454 La
-5.3541 -2.7482 -4.4856 La
```

## Properties
V, A^3/atom: 41.412
SG: C2/m, No. 12
DFT formation energy, meV/atom: 176

***

This record from Alexandria describes KCaC2 after structural relaxation. The functional is PBE.

```
KCaC2
1.0
0.0000 3.2531 3.2531
3.2531 0.0000 3.2531
3.2531 3.2531 0.0000
Ca K C
1 1 2
Cartesian
3.2531 3.2531 3.2531 Ca
0.0000 0.0000 0.0000 K
1.6265 1.6265 1.6265 C
4.8796 4.8796 4.8796 C
```

## Properties
V, A^3/atom: 17.213
SG: Fm-3m, No. 225
DFT formation energy, meV/atom: 1880

***

This record from Alexandria describes La2SmIr2 after structural relaxation. The functional is PBE.

```
La2SmIr2
1.0
-2.0538 -3.8234 -2.1496
-1.8637 -2.7445 6.6621
-5.4911 5.5868 0.7655
Ir Sm La
4 2 4
Cartesian
-3.7201 -1.6966 6.5719 Ir
-4.4270 2.4942 -0.2068 Ir
-6.6192 -0.6550 2.0330 Ir
-4.0517 -2.1057 2.1601 Ir
-8.1621 -1.1709 4.4246 Sm
-1.6745 -0.4404 2.3832 Sm
-4.5763 0.0303 4.3185 La
-4.5410 -0.5826 -0.0813 La
-6.1834 2.2375 1.9281 La
-3.5199 -3.6526 4.4035 La
```

## Properties
V, A^3/atom: 26.995
SG: Cmc2_1, No. 36
DFT formation energy, meV/atom: -592

***

This record from Alexandria describes TlB2TeOs after structural relaxation. The functional is PBE.

```
TlB2TeOs
1.0
-3.8858 2.0494 0.1162
-2.3160 -4.4608 1.2261
0.5859 0.8688 4.2678
B Te Tl Os
2 1 1 1
Cartesian
0.2929 0.4344 2.1339 B
-1.9429 1.0247 0.0581 B
0.0000 0.0000 0.0000 Te
-2.8079 -0.7713 2.8051 Tl
-1.1580 -2.2304 0.6130 Os
```

## Properties
Formation energy from raw total energies, eV/f.u.: 10.53
V, A^3/atom: 19.983
SG: P4/mmm, No. 123

***

This record from Alexandria describes Li2Y2In3 after structural relaxation. The functional is PBE.

```
Li2Y2In3
1.0
-0.8803 -1.8400 4.0565
-2.8886 -1.0525 -1.1043
4.2554 -10.3763 -1.2419
Y In Li
2 3 2
Cartesian
-1.1491 -2.9272 0.9640 Y
1.6356 -10.3416 0.7464 Y
0.0000 0.0000 0.0000 In
2.7394 -7.3232 -0.1861 In
0.6357 -4.8930 3.0007 In
0.3178 -7.6878 1.6641 Li
0.1686 -5.5809 0.0463 Li
```

## Properties
V, A^3/atom: 23.420
SG: Cmmm, No. 65
DFT formation energy, meV/atom: -346

***

This record from Alexandria describes Dy4Co7Ge6 after structural relaxation. The functional is PBE.

```
Dy4Co7Ge6
1.0
6.6308 0.0000 -2.3444
-3.3154 5.7425 -2.3444
0.0000 0.0000 7.0331
Co Dy Ge
7 4 6
Cartesian
-0.8289 4.3069 1.1722 Co
2.4866 1.4356 3.5165 Co
0.0000 2.8712 3.5165 Co
4.1443 1.4356 1.1722 Co
0.0000 0.0000 0.0000 Co
3.3154 2.8712 -1.1722 Co
0.8289 4.3069 -1.1722 Co
1.6577 2.8712 1.1722 Dy
-1.6577 2.8712 -1.1722 Dy
0.0000 0.0000 3.5165 Dy
3.3154 0.0000 -1.1722 Dy
-1.0861 1.8811 1.5359 Ge
2.1722 0.0000 1.5359 Ge
1.0861 1.8811 -1.5359 Ge
-2.2293 3.8613 3.1528 Ge
4.4587 0.0000 3.1528 Ge
2.2293 3.8613 -3.1528 Ge
```

## Properties
V, A^3/atom: 15.753
SG: Im-3m, No. 229
DFT formation energy, meV/atom: -553

***

This record from Alexandria describes SmZrGa2 after structural relaxation. The functional is PBE.

```
SmZrGa2
1.0
4.1006 0.0000 0.0000
0.0000 8.1941 0.0000
0.0000 0.0000 10.9409
Sm Ga Zr
4 8 4
Cartesian
3.0754 6.9708 1.5915 Sm
1.0251 1.2233 9.3494 Sm
3.0754 2.8737 3.8789 Sm
1.0251 5.3204 7.0620 Sm
1.0251 1.1417 1.9015 Ga
1.0251 2.0739 6.0730 Ga
3.0754 2.9553 7.3720 Ga
3.0754 7.0524 9.0394 Ga
3.0754 2.0232 0.6026 Ga
1.0251 5.2388 3.5689 Ga
1.0251 6.1709 10.3384 Ga
3.0754 6.1202 4.8679 Ga
3.0754 4.2711 9.7968 Zr
3.0754 0.1741 6.6146 Zr
1.0251 3.9230 1.1441 Zr
1.0251 8.0200 4.3263 Zr
```

## Properties
V, A^3/atom: 22.976
SG: Pnma, No. 62
DFT formation energy, meV/atom: -494

***

This record from Alexandria describes SrIn after structural relaxation. The functional is PBE.

```
SrIn
1.0
-4.4207 0.5187 3.6951
0.4621 -2.0895 5.3745
0.3931 3.6269 4.4896
In Sr
2 2
Cartesian
-0.8914 0.5140 3.3898 In
0.0000 0.0000 0.0000 In
-2.6741 1.5420 10.1694 Sr
-1.7827 1.0280 6.7796 Sr
```

## Properties
V, A^3/atom: 34.222
SG: Fd-3m, No. 227
DFT formation energy, meV/atom: -147

***

This record from Alexandria describes InAs2Os after structural relaxation. The functional is PBE.

```
InAs2Os
1.0
-4.1818 3.8635 -6.9946
-7.3324 1.6667 -4.9795
5.3329 -1.0190 7.2013
In As Os
1 2 1
Cartesian
-5.0612 2.4308 -5.2633 In
-2.6029 2.9488 -3.2020 As
-0.9859 0.4735 -1.0252 As
-3.2884 1.4231 -1.2692 Os
```

## Properties
V, A^3/atom: 20.586
SG: Imm2, No. 44
DFT formation energy, meV/atom: 151

***

no.,size of the total moment (μB per formula unit)
1,0.0
2,0.0
3,0.0
4,0.0
5,0.0
6,0.0
7,0.0
8,0.6
9,0.0
10,0.5
11,0.0
12,0.0